4
Lattice="4.633 0.000 0.000 -0.017 6.166 0.000 -2.294 -3.079 5.129" Properties=species:S:1:pos:R:3 comment="KAl | Alexandria via LeMat-Bulk | GGA-PBE | optimized geometry" relative_energy_ev_per_atom=0.082 space_group=P-1 m_tot_mub_per_atom=0.0000 e_form_ev_per_atom=0.20 final_energy_ev_per_cell=-8.88 pbc="T T T"
K -0.002 1.541 0.952
K 2.325 1.546 4.178
Al 0.011 -1.541 3.072
Al 2.311 4.628 2.057